Below is crystalline SrInF3 at its relaxed geometry, with properties calculated at the GGA-PBEsol level.

Summary:
E	-4.928	eV per atom
SG	No. 221
ΔE_f (raw)	-2.81	eV per atom
N(E_F)	0.000	states/eV/f.u.

```
SrInF3
1.0
-3.461 1.521 -2.769
-3.127 -1.070 3.322
0.446 4.301 1.805
F In Sr
3 1 1
Direct
0.000 0.000 0.500
0.500 0.000 0.000
0.000 0.500 0.000
0.500 0.500 0.500
0.000 0.000 0.000
```

---

Below is crystalline BaTaHg2 at its relaxed geometry, with properties calculated at the GGA-PBEsol level.

Summary:
ΔH_f (0 K)	0.40	eV/atom
E	-3.554	eV per atom
SG	No. 123
N(E_F)	3.741	states/eV/f.u.

```
BaTaHg2
1.0
3.079 0.000 0.000
0.000 5.561 0.000
0.000 0.000 5.561
Ta Ba Hg
1 1 2
Direct
0.500 0.500 0.500
0.500 0.000 0.000
0.000 0.500 0.000
0.000 0.000 0.500
```

---

Below is crystalline KBa2O at its relaxed geometry, with properties calculated at the GGA-PBEsol level.

Summary:
E	-3.814	eV per atom
SG	No. 122
ΔE_f (raw)	-1.14	eV per atom
N(E_F)	3.215	states/eV/f.u.

```
KBa2O
1.0
8.203 0.016 0.022
-4.053 7.132 -0.022
-4.053 -2.425 6.707
O Ba K
2 4 2
Direct
0.500 0.250 0.750
0.000 0.500 0.500
0.805 0.430 0.125
0.695 0.375 0.570
0.305 0.875 0.680
0.195 0.320 0.625
0.500 0.750 0.250
0.000 0.000 0.000
```

---

Below is crystalline TiBeS2Cl at its relaxed geometry, with properties calculated at the GGA-PBEsol level.

Summary:
E	-4.795	eV per atom
SG	No. 123
ΔE_f (raw)	-0.18	eV per atom
N(E_F)	3.093	states/eV/f.u.

```
TiBeS2Cl
1.0
4.660 0.000 0.000
0.000 4.660 0.000
0.000 0.000 4.636
Be S Cl Ti
1 2 1 1
Direct
0.500 0.500 0.500
0.500 0.000 0.000
0.000 0.500 0.000
0.000 0.000 0.500
0.000 0.000 0.000
```

---

Below is crystalline BaNdInO4 at its relaxed geometry, with properties calculated at the GGA-PBEsol level.

Summary:
E	-7.022	eV per atom
SG	No. 14
ΔE_f (raw)	-2.55	eV per atom
N(E_F)	0.000	states/eV/f.u.

```
BaNdInO4
1.0
6.057 0.000 0.000
0.000 8.297 -0.006
0.000 -2.128 8.840
Ba O In Nd
4 16 4 4
Direct
0.252 0.972 0.854
0.248 0.472 0.854
0.752 0.528 0.146
0.748 0.028 0.146
0.988 0.381 0.348
0.985 0.728 0.016
0.810 0.952 0.817
0.015 0.272 0.984
0.310 0.548 0.183
0.488 0.119 0.652
0.190 0.048 0.183
0.552 0.668 0.609
0.012 0.619 0.652
0.512 0.881 0.348
0.948 0.168 0.609
0.485 0.772 0.984
0.052 0.832 0.391
0.515 0.228 0.016
0.690 0.452 0.817
0.448 0.332 0.391
0.757 0.705 0.830
0.743 0.205 0.830
0.257 0.795 0.170
0.243 0.295 0.170
0.753 0.394 0.546
0.747 0.894 0.546
0.247 0.606 0.454
0.253 0.106 0.454
```

---

Below is crystalline Ba2ScReBi at its relaxed geometry, with properties calculated at the GGA-PBEsol level.

Summary:
ΔH_f (0 K)	0.33	eV/atom
E	-5.375	eV per atom
SG	No. 123
N(E_F)	2.439	states/eV/f.u.

```
Ba2ScReBi
1.0
-4.383 -2.604 -0.131
1.493 -2.751 4.750
-2.497 4.044 3.127
Bi Ba Re Sc
1 2 1 1
Direct
0.500 0.500 0.500
0.000 0.000 0.500
0.000 0.500 0.000
0.000 0.000 0.000
0.500 0.000 0.000
```

---

Below is crystalline Rb2HgI at its relaxed geometry, with properties calculated at the GGA-PBEsol level.

Summary:
E	-1.751	eV per atom
SG	No. 225
ΔE_f (raw)	-0.66	eV per atom
N(E_F)	2.901	states/eV/f.u.

```
Rb2HgI
1.0
-1.946 3.534 4.702
-5.324 3.133 -0.476
-4.921 -1.728 3.343
I Rb Hg
1 2 1
Direct
0.000 0.000 0.000
0.250 0.250 0.250
0.750 0.750 0.750
0.500 0.500 0.500
```

---

Below is crystalline GaReRu3 at its relaxed geometry, with properties calculated at the GGA-PBEsol level.

Summary:
ΔH_f (0 K)	1.72	eV/atom
E	-7.722	eV per atom
SG	No. 221
N(E_F)	8.762	states/eV/f.u.

```
GaReRu3
1.0
4.604 0.000 0.000
0.000 4.604 0.000
0.000 0.000 4.604
Re Ru Ga
1 3 1
Direct
0.000 0.000 0.000
0.500 0.000 0.000
0.000 0.500 0.000
0.000 0.000 0.500
0.500 0.500 0.500
```

---

Below is crystalline AuI at its relaxed geometry, with properties calculated at the GGA-PBEsol level.

Summary:
E	-2.827	eV per atom
SG	No. 138
ΔE_f (raw)	0.02	eV per atom

```
AuI
1.0
4.196 0.000 0.000
0.000 4.196 0.000
0.000 0.000 14.094
I Au
4 4
Direct
0.500 0.000 0.403
0.000 0.500 0.597
0.500 0.000 0.903
0.000 0.500 0.097
0.250 0.250 0.250
0.750 0.250 0.750
0.750 0.750 0.250
0.250 0.750 0.750
```

---

Below is crystalline CsTl3O at its relaxed geometry, with properties calculated at the GGA-PBEsol level.

Summary:
E	-2.920	eV per atom
SG	No. 221
ΔE_f (raw)	-0.10	eV per atom
N(E_F)	3.340	states/eV/f.u.

```
CsTl3O
1.0
5.331 0.000 0.000
0.000 5.331 0.000
0.000 0.000 5.331
Cs O Tl
1 1 3
Direct
0.500 0.500 0.500
0.000 0.000 0.000
0.000 0.500 0.000
0.500 0.000 0.000
0.000 0.000 0.500
```

---

Below is crystalline SbClF10 at its relaxed geometry, with properties calculated at the GGA-PBEsol level.

Summary:
E	-3.641	eV per atom
SG	No. 57
ΔE_f (raw)	-1.49	eV per atom
N(E_F)	0.000	states/eV/f.u.

```
SbClF10
1.0
5.837 0.000 0.000
0.000 8.498 0.000
0.000 0.000 14.925
Sb F Cl
4 40 4
Direct
0.912 0.750 0.645
0.088 0.250 0.355
0.088 0.750 0.145
0.912 0.250 0.855
0.807 0.250 0.284
0.418 0.554 0.843
0.371 0.250 0.416
0.249 0.250 0.241
0.582 0.946 0.343
0.407 0.750 0.421
0.082 0.028 0.351
0.082 0.972 0.149
0.629 0.750 0.584
0.371 0.750 0.084
0.249 0.750 0.259
0.418 0.946 0.843
0.751 0.750 0.759
0.593 0.250 0.579
0.089 0.750 0.538
0.918 0.028 0.851
0.193 0.750 0.716
0.582 0.554 0.343
0.751 0.250 0.741
0.918 0.472 0.851
0.808 0.250 0.103
0.193 0.250 0.784
0.418 0.054 0.657
0.418 0.446 0.657
0.192 0.750 0.897
0.082 0.528 0.149
0.082 0.472 0.351
0.407 0.250 0.079
0.808 0.750 0.397
0.089 0.250 0.962
0.629 0.250 0.916
0.582 0.054 0.157
0.192 0.250 0.603
0.918 0.972 0.649
0.807 0.750 0.216
0.911 0.750 0.038
0.593 0.750 0.921
0.918 0.528 0.649
0.582 0.446 0.157
0.911 0.250 0.462
0.580 0.250 0.161
0.580 0.750 0.339
0.420 0.250 0.661
0.420 0.750 0.839
```

---

Below is crystalline CaTa2Al at its relaxed geometry, with properties calculated at the GGA-PBEsol level.

Summary:
ΔH_f (0 K)	0.41	eV/atom
E	-7.421	eV per atom
SG	No. 47
N(E_F)	2.991	states/eV/f.u.

```
CaTa2Al
1.0
-1.001 -0.300 2.746
3.113 -2.417 0.870
3.693 5.456 1.942
Ca Ta Al
1 2 1
Direct
0.500 0.500 0.500
0.000 0.000 0.811
0.000 0.000 0.189
0.500 0.500 0.000
```

---

Question: What is the formula in the eighth record?
Answer: GaReRu3

---

Question: Which of these has the lowest E?
Answer: GaReRu3